A plane-wave DFT calculation with PBE-GGA was carried out for a geometry-optimized CdRe2O6 structure.

## Properties
* crystal system: monoclinic
* total moment: 0.00 μB per formula unit

a = 5.3074 Å, b = 5.3074 Å, c = 6.9599 Å
α = 114.52°, β = 114.52°, γ = 44.06°
Last column: nearest neighbours and their distance in Å.
Fractional positions:
Cd: 0.0000 0.0000 0.0000  6 O 2.30-2.45
Re: 0.1822 0.1822 0.6121  3 O 1.82-2.02
Re: 0.8178 0.8178 0.3879  3 O 1.82-2.02
O: 0.0088 0.0088 0.6747  2 Re 1.94-2.04
O: 0.2907 0.2907 0.4256  3 Re 2.02-2.04
O: 0.3389 0.3389 0.8814  1 Re 1.82
O: 0.6611 0.6611 0.1186  1 Re 1.82
O: 0.7093 0.7093 0.5744  3 Re 2.02-2.04
O: 0.9912 0.9912 0.3253  2 Re 1.94-2.04

A plane-wave DFT calculation with PBE-GGA was carried out for a geometry-optimized Cd3ReO6 structure.

## Properties
* crystal system: monoclinic
* total moment: 0.95 μB per formula unit

a = 5.6254 Å, b = 5.6701 Å, c = 9.9047 Å
α = 90.00°, β = 124.15°, γ = 90.00°
Last column: nearest neighbours and their distance in Å.
Fractional positions:
Cd: 0.0000 0.0000 0.0000  6 O 2.26-2.39
Cd: 0.0000 0.5000 0.5000  6 O 2.26-2.39
Cd: 0.2411 0.0392 0.7419  4 O 2.26-2.30
Cd: 0.2411 0.4608 0.2419  4 O 2.26-2.30
Cd: 0.7589 0.5392 0.7581  4 O 2.26-2.30
Cd: 0.7589 0.9608 0.2581  4 O 2.26-2.30
Re: 0.5000 0.0000 0.5000  6 O 1.92-1.97
Re: 0.5000 0.5000 0.0000  6 O 1.92-1.97
O: 0.1697 0.0737 0.2773  1 Re 1.97
O: 0.1697 0.4263 0.7773  1 Re 1.97
O: 0.2522 0.6645 0.0464  1 Re 1.93
O: 0.2522 0.8355 0.5464  1 Re 1.93
O: 0.4231 0.2147 0.0734  1 Re 1.92
O: 0.4231 0.2853 0.5734  1 Re 1.92
O: 0.5769 0.7147 0.4266  1 Re 1.92
O: 0.5769 0.7853 0.9266  1 Re 1.92
O: 0.7478 0.1645 0.4536  1 Re 1.93
O: 0.7478 0.3355 0.9536  1 Re 1.93
O: 0.8303 0.5737 0.2227  1 Re 1.97
O: 0.8303 0.9263 0.7227  1 Re 1.97

In order of appearance, E_form (uncorrected) = -1236; -1205 meV/atom.
In order of appearance, E = -7.41; -5.70 eV/atom.
In order of appearance, DOS(E_F) = 1.8; 2.7 states/eV/f.u..